No. 1
KNaOF2 PBE optimized geometry; energy above the most stable polymorph in this dataset = 354.9 meV per atom; spin magnetization = 2.00 μB/cell; ΔE_f (raw) = -1.119 eV/atom
1.0
4.8956 0.0000 0.0000
0.0000 4.8956 0.0000
0.0000 0.0000 4.9096
Na K O F
1 1 1 2
Cartesian
2.4478 2.4478 2.4548 Na
0.0000 0.0000 0.0000 K
0.0000 0.0000 2.4548 O
0.0000 2.4478 0.0000 F
2.4478 0.0000 0.0000 F

No. 2
KNaPF6 PBE optimized geometry; spin magnetization = 1.00 μB/cell; ΔE_f (raw) = -2.459 eV/atom
1.0
-4.6896 -3.1582 0.4202
-0.5533 -4.8540 -2.9516
2.1465 -2.7486 4.1367
K Na P F
1 1 1 6
Cartesian
-5.2215 -7.9962 -2.5091 K
-2.4207 -6.6396 0.3748 Na
-0.6620 -4.0420 1.2424 P
0.1464 -2.6761 0.4119 F
-0.1712 -3.4006 2.7215 F
-1.4180 -5.3835 2.1104 F
0.9189 -4.9357 1.1795 F
-1.4320 -4.8834 -0.5170 F
-2.1246 -3.0853 1.4061 F